Record 1
# CsScTl2Cl GGA-PBE optimized geometry
data_CsScTl2Cl
_symmetry_space_group_name_H-M 'P 4/m m m'
_symmetry_Int_Tables_number 123
_symmetry_space_group_name_Hall '-P 4 2'
_cell_length_a 6.0070
_cell_length_b 6.0070
_cell_length_c 6.1182
_cell_angle_alpha 90.00
_cell_angle_beta 90.00
_cell_angle_gamma 90.00
loop_
_atom_site_label
_atom_site_type_symbol
_atom_site_fract_x
_atom_site_fract_y
_atom_site_fract_z
Cs1 Cs 0.0000 0.0000 0.0000
Sc1 Sc 0.5000 0.5000 0.0000
Tl1 Tl 0.0000 0.5000 0.5000
Cl1 Cl 0.0000 0.0000 0.5000
# - Mass density: 4.7 g/cm3
# - Volume: 220.8 Å³ per cell
# - Formation energy from raw total energies: 0.135 eV/atom

Record 2
# CsScTlCl6 GGA-PBE optimized geometry
data_CsScTlCl6
_symmetry_space_group_name_H-M 'P 3 1 2'
_symmetry_Int_Tables_number 149
_cell_length_a 7.1627
_cell_length_b 7.1627
_cell_length_c 7.4617
_cell_angle_alpha 90.00
_cell_angle_beta 90.00
_cell_angle_gamma 120.00
loop_
_symmetry_equiv_pos_as_xyz
'x,y,z'
'-y,x-y,z'
'-x+y,-x,z'
'-y,-x,-z'
'-x+y,y,-z'
'x,x-y,-z'
loop_
_atom_site_label
_atom_site_type_symbol
_atom_site_fract_x
_atom_site_fract_y
_atom_site_fract_z
Cs1 Cs 0.0000 0.0000 0.0000
Sc1 Sc 0.6667 0.3333 0.5000
Tl1 Tl 0.3333 0.6667 0.5000
Cl1 Cl 0.4030 0.0368 0.7016
# - Mass density: 3.0 g/cm3
# - Volume: 331.6 Å³ per cell
# - Formation energy from raw total energies: -1.637 eV/atom

Record 3
# CsScVCl6 GGA-PBE optimized geometry
data_CsScVCl6
_symmetry_space_group_name_H-M 'P 3 1 2'
_symmetry_Int_Tables_number 149
_cell_length_a 6.4728
_cell_length_b 6.4728
_cell_length_c 7.9652
_cell_angle_alpha 90.00
_cell_angle_beta 90.00
_cell_angle_gamma 120.00
loop_
_symmetry_equiv_pos_as_xyz
'x,y,z'
'-y,x-y,z'
'-x+y,-x,z'
'-y,-x,-z'
'-x+y,y,-z'
'x,x-y,-z'
loop_
_atom_site_label
_atom_site_type_symbol
_atom_site_fract_x
_atom_site_fract_y
_atom_site_fract_z
Cs1 Cs 0.0000 0.0000 0.0000
Sc1 Sc 0.3333 0.6667 0.5000
V1 V 0.6667 0.3333 0.5000
Cl1 Cl 0.3702 0.0032 0.3205
# - Mass density: 2.5 g/cm3
# - Volume: 289.0 Å³ per cell
# - Formation energy from raw total energies: -1.801 eV/atom